Entry from OQMD via LeMat-Bulk: a relaxed NdBe3F crystal (PBE).

The structure belongs to space group Pm-3m (No. 221); the cell edges are 4.2776, 4.2776 and 4.2776 Å and the angles 90.00°, 90.00° and 90.00°. Symmetry generates all atoms from Nd at (0.0000, 0.0000, 0.0000), Be at (0.0000, 0.5000, 0.5000) and F at (0.5000, 0.5000, 0.5000).

Its total magnetization is 0.012 μB/f.u. Its energy is -16.57 eV/cell.



Entry from OQMD via LeMat-Bulk: a relaxed LiMgAg2 crystal (PBE).

The structure belongs to space group Cmmm (No. 65); the cell edges are 6.4262, 6.4992 and 3.3232 Å and the angles 90.00°, 90.00° and 90.00°. Symmetry generates all atoms from Li at (0.0000, 0.0000, 0.0000), Mg at (0.0000, 0.5000, 0.0000) and Ag at (0.2500, 0.2500, 0.5000).

Its energy is -20.14 eV/cell.



Entry from OQMD via LeMat-Bulk: a relaxed Ba2CdHg3 crystal (PBE).

The structure belongs to space group Cm (No. 8); the cell edges are 12.0707, 5.2892 and 8.2809 Å and the angles 90.00°, 132.88° and 90.00°. Symmetry generates all atoms from Ba at (0.0000, 0.0000, 0.0000), Ba at (0.0824, 0.0000, 0.5866), Cd at (0.2090, 0.5000, 0.3999), Hg at (0.2048, 0.5000, 0.0105), Hg at (0.3705, 0.0000, 0.5714) and Hg at (0.3833, 0.0000, 0.1822).

Its energy is -16.83 eV/cell.



Entry from OQMD via LeMat-Bulk: a relaxed ZnCdSb4Os2 crystal (PBE).

The structure belongs to space group I-4 (No. 82); the cell edges are 6.1313, 6.1313 and 12.4359 Å and the angles 90.00°, 90.00° and 90.00°. Symmetry generates all atoms from Zn at (0.0000, 0.0000, 0.0000), Cd at (0.0000, 0.5000, 0.2500), Sb at (0.2126, 0.2628, 0.6188), Os at (0.0000, 0.0000, 0.5000) and Os at (0.0000, 0.5000, 0.7500).

Its total magnetization is 0.001 μB/f.u. Its energy is -74.50 eV/cell.



Entry from OQMD via LeMat-Bulk: a relaxed AlGaCuTe4 crystal (PBE).

The structure belongs to space group P4_122 (No. 91); the cell edges are 8.1846, 8.1846 and 11.5403 Å and the angles 90.00°, 90.00° and 90.00°. Symmetry generates all atoms from Al at (0.0000, 0.2665, 0.0000), Ga at (0.2443, 0.2443, 0.3750), Cu at (0.2486, 0.5000, 0.7500), Te at (0.0287, 0.2512, 0.7580) and Te at (0.2575, 0.4879, 0.9879).

The calculation puts the excess energy over the best structure of this formula in the dataset at 1 meV/atom.



Entry from OQMD via LeMat-Bulk: a relaxed MgCoReSi crystal (PBE).

The structure belongs to space group F-43m (No. 216); the cell edges are 5.9199, 5.9199 and 5.9199 Å and the angles 90.00°, 90.00° and 90.00°. Symmetry generates all atoms from Mg at (0.0000, 0.0000, 0.0000), Co at (0.2500, 0.2500, 0.7500), Re at (0.2500, 0.2500, 0.2500) and Si at (0.0000, 0.0000, 0.5000).

The calculation puts the excess energy over the best structure of this formula in the dataset at 0 meV/atom. Its total magnetization is 0.633 μB/f.u.



Entry from OQMD via LeMat-Bulk: a relaxed ErCu3P2 crystal (PBE).

The structure belongs to space group P-3m1 (No. 164); the cell edges are 3.9746, 3.9746 and 6.5070 Å and the angles 90.00°, 90.00° and 120.00°. Symmetry generates all atoms from Er at (0.0000, 0.0000, 0.0000), Cu at (0.0000, 0.0000, 0.5000), Cu at (0.3333, 0.6667, 0.6667) and P at (0.3333, 0.6667, 0.2540).

Its total magnetization is 0.003 μB/f.u. Its energy is -29.86 eV/cell.



Entry from OQMD via LeMat-Bulk: a relaxed CdTcAs crystal (PBE).

The structure belongs to space group F-43m (No. 216); the cell edges are 6.1616, 6.1616 and 6.1616 Å and the angles 90.00°, 90.00° and 90.00°. Symmetry generates all atoms from Cd at (0.0000, 0.0000, 0.0000), Tc at (0.2500, 0.2500, 0.7500) and As at (0.0000, 0.0000, 0.5000).

The calculation puts the excess energy over the best structure of this formula in the dataset at 0 meV/atom. Its total magnetization is 0.006 μB/f.u.